Compound: CoO
Source: Alexandria via LeMat-Bulk
Functional: PBE with a Hubbard U
Structure: optimized geometry

Results
The uncorrected energy is -5.973 eV/atom.

a = 5.6624 Å, b = 5.6624 Å, c = 5.6624 Å
α = 90.00°, β = 90.00°, γ = 90.00°
Fractional positions:
Co 0.0000 0.2500 0.5000
Co 0.0000 0.7500 0.5000
Co 0.2500 0.5000 0.0000
Co 0.5000 0.0000 0.2500
Co 0.5000 0.0000 0.7500
Co 0.7500 0.5000 0.0000
O 0.0000 0.5000 0.2500
O 0.0000 0.5000 0.7500
O 0.2500 0.0000 0.5000
O 0.5000 0.2500 0.0000
O 0.5000 0.7500 0.0000
O 0.7500 0.0000 0.5000